(P)
Compound: NdDy4Sc2
Source: Alexandria via LeMat-Bulk
Functional: GGA-PBE
Structure: relaxed

abc: 5.4453 6.7872 11.7105
angles: 90.00 103.46 90.00
Last column: nearest neighbours and their distance in Å.
Space group P2_1/m (No. 11)
Inequivalent atoms, fractional coordinates:
Nd  0.0726  0.2500  0.1414  2 Sc 3.20, 4 Dy 3.29-3.40
Dy  0.0775  0.7500  0.1564  3 Sc 3.12-3.22, 3 Nd 3.39-3.40
Dy  0.2143  0.2500  0.4303  4 Sc 3.15-3.39, 1 Nd 3.29
Dy  0.3534  0.0015  0.7065  7 Dy 3.37-3.58, 4 Sc 3.56-3.67, 2 Nd 3.64-3.66
Sc  0.2161  0.7500  0.4307  5 Dy 3.12-3.39
Sc  0.4982  0.2500  0.9932  2 Nd 3.20, 2 Dy 3.21-3.22, 2 Sc 3.40

Theoretical density (g/cm³): 6.98

(Q)
Compound: NdDy4Sc2
Source: Alexandria via LeMat-Bulk
Functional: GGA-PBE
Structure: relaxed

abc: 11.4676 6.2895 6.0929
angles: 90.00 100.37 90.00
Last column: nearest neighbours and their distance in Å.
Space group C2/m (No. 12)
Inequivalent atoms, fractional coordinates:
Nd  0.0000  0.0000  0.0000  6 Dy 3.27, 4 Sc 3.52
Dy  0.1588  0.0000  0.5021  1 Nd 3.27, 3 Dy 3.41-3.64, 3 Sc 3.50-3.63
Dy  0.2500  0.2500  0.0000  4 Dy 3.14-3.41, 2 Nd 3.27, 2 Sc 3.51
Sc  0.0392  0.5000  0.2643  2 Sc 3.16-3.18, 3 Dy 3.50-3.51, 2 Nd 3.52

Theoretical density (g/cm³): 6.79

(P) has the most favorable energy; the next structure is 115 meV per atom above.

(P)
Compound: Nd6DySc2
Source: Alexandria via LeMat-Bulk
Functional: GGA-PBE
Structure: relaxed

abc: 8.0711 8.0711 10.3957
angles: 90.00 90.00 90.00
Last column: nearest neighbours and their distance in Å.
Space group P4_2/mnm (No. 136)
Inequivalent atoms, fractional coordinates:
Nd  0.2319  0.2319  0.0000  1 Dy 3.06, 2 Sc 3.16
Nd  0.2425  0.2425  0.3306  2 Sc 2.94-3.25, 1 Dy 3.28
Dy  0.0000  0.0000  0.5000  6 Nd 3.06-3.28
Sc  0.0000  0.0000  0.1665  6 Nd 2.94-3.25

Theoretical density (g/cm³): 5.48

(Q)
Compound: Nd6DySc2
Source: Alexandria via LeMat-Bulk
Functional: GGA-PBE
Structure: relaxed

abc: 9.2240 17.5080 3.6098
angles: 90.00 90.00 90.00
Last column: nearest neighbours and their distance in Å.
Space group Cmmm (No. 65)
Inequivalent atoms, fractional coordinates:
Nd  0.1782  0.1666  0.0000  4 Nd 3.20-3.43, 2 Sc 3.48
Nd  0.1820  0.0000  0.5000  7 Nd 3.36-3.61, 2 Dy 3.44
Dy  0.0000  0.5000  0.0000  4 Nd 3.44, 4 Sc 3.59, 2 Dy 3.61
Sc  0.0000  0.3228  0.5000  8 Nd 3.48-3.67, 2 Dy 3.59, 2 Sc 3.61

Theoretical density (g/cm³): 6.37

(Q) has the most favorable energy; the next structure is 405 meV per atom above.

(P)
Compound: Nd2Dy8Sc
Source: Alexandria via LeMat-Bulk
Functional: GGA-PBE
Structure: relaxed

abc: 16.4437 6.6265 6.6464
angles: 90.00 101.78 90.00
Last column: nearest neighbours and their distance in Å.
Space group C2/m (No. 12)
Inequivalent atoms, fractional coordinates:
Nd  0.1896  0.0000  0.3025  7 Dy 3.35-3.72, 1 Sc 3.62
Dy  0.0829  0.2599  0.8913  6 Dy 3.18-3.52, 1 Sc 3.18, 1 Nd 3.40
Dy  0.0908  0.5000  0.4124  6 Dy 3.37-3.59, 1 Nd 3.72, 2 Sc 3.73
Dy  0.2443  0.0000  0.8166  5 Dy 3.28-3.48, 4 Nd 3.35-3.63
Sc  0.0000  0.0000  0.5000  4 Dy 3.18

Theoretical density (g/cm³): 7.65

(Q)
Compound: Nd2Dy8Sc
Source: Alexandria via LeMat-Bulk
Functional: GGA-PBE
Structure: relaxed

abc: 18.0641 5.0059 7.9327
angles: 90.00 105.33 90.00
Last column: nearest neighbours and their distance in Å.
Space group C2/m (No. 12)
Inequivalent atoms, fractional coordinates:
Nd  0.2261  0.0000  0.1370  10 Dy 3.54-3.60, 2 Nd 3.57
Dy  0.0442  0.0000  0.2298  9 Dy 3.47-3.58, 2 Sc 3.52, 1 Nd 3.55
Dy  0.0889  0.5000  0.9485  1 Sc 3.50, 8 Dy 3.50-3.59, 3 Nd 3.56-3.58
Dy  0.1333  0.0000  0.6752  7 Dy 3.47-3.61, 2 Sc 3.50, 3 Nd 3.60
Dy  0.1798  0.5000  0.4087  1 Sc 3.51, 8 Dy 3.52-3.61, 3 Nd 3.54-3.55
Sc  0.0000  0.5000  0.5000  12 Dy 3.50-3.52

Theoretical density (g/cm³): 7.84

(Q) has the most favorable energy; the next structure is 134 meV per atom above.

(P)
Compound: NdDy8Sc2
Source: Alexandria via LeMat-Bulk
Functional: GGA-PBE
Structure: relaxed

abc: 8.8544 15.9052 5.7805
angles: 90.00 122.98 90.00
Last column: nearest neighbours and their distance in Å.
Space group C2/m (No. 12)
Inequivalent atoms, fractional coordinates:
Nd  0.0000  0.0000  0.0000  4 Dy 3.30-3.31
Dy  0.0000  0.2083  0.0000  2 Sc 3.31, 1 Nd 3.31, 6 Dy 3.46-3.63
Dy  0.0709  0.5000  0.7918  3 Dy 2.89-3.23
Dy  0.2189  0.1213  0.6758  5 Dy 3.23-3.56, 2 Sc 3.35-3.41
Sc  0.0000  0.3095  0.5000  8 Dy 3.31-3.41

Theoretical density (g/cm³): 7.46

(Q)
Compound: NdDy8Sc2
Source: Alexandria via LeMat-Bulk
Functional: GGA-PBE
Structure: relaxed

abc: 5.3810 8.1544 15.5862
angles: 90.00 90.00 90.00
Last column: nearest neighbours and their distance in Å.
Space group Immm (No. 71)
Inequivalent atoms, fractional coordinates:
Nd  0.0000  0.0000  0.0000  8 Dy 3.28-3.64
Dy  0.0000  0.1998  0.5000  7 Dy 3.26-3.54, 2 Sc 3.51, 2 Nd 3.64
Dy  0.0000  0.2953  0.1431  1 Nd 3.28, 3 Sc 3.29-3.44, 6 Dy 3.34-3.63
Dy  0.0000  0.5000  0.3357  2 Sc 3.43, 8 Dy 3.43-3.63, 2 Nd 3.71
Sc  0.0000  0.0000  0.3003  10 Dy 3.29-3.51

Theoretical density (g/cm³): 7.45

(Q) has the most favorable energy; the next structure is 48 meV per atom above.

(P)
Compound: Nd3Dy4Sc2
Source: Alexandria via LeMat-Bulk
Functional: GGA-PBE
Structure: relaxed

abc: 16.8884 3.5060 9.6265
angles: 90.00 100.07 90.00
Last column: nearest neighbours and their distance in Å.
Space group C2/m (No. 12)
Inequivalent atoms, fractional coordinates:
Nd  0.0000  0.0000  0.0000  6 Dy 3.35-3.55, 2 Nd 3.51, 4 Sc 3.52
Nd  0.1581  0.0000  0.5901  2 Nd 3.51, 7 Dy 3.52-3.66, 2 Sc 3.63
Dy  0.0137  0.5000  0.3243  5 Dy 3.49-3.51, 1 Sc 3.54, 6 Nd 3.55-3.66
Dy  0.1750  0.0000  0.2267  3 Sc 3.23-3.39, 4 Nd 3.35-3.56, 4 Dy 3.50-3.51
Sc  0.1679  0.5000  0.9233  4 Dy 3.23-3.54, 4 Sc 3.39-3.51, 2 Nd 3.52

Theoretical density (g/cm³): 6.94

(Q)
Compound: Nd3Dy4Sc2
Source: Alexandria via LeMat-Bulk
Functional: GGA-PBE
Structure: relaxed

abc: 16.4113 11.5150 5.9626
angles: 90.00 97.68 90.00
Last column: nearest neighbours and their distance in Å.
Space group C2/c (No. 15)
Inequivalent atoms, fractional coordinates:
Nd  0.0000  0.1002  0.2500  6 Sc 3.26-3.64, 4 Dy 3.45-3.51
Nd  0.1697  0.3823  0.0748  2 Sc 3.31-3.61, 8 Dy 3.36-3.61
Dy  0.0521  0.3655  0.5209  1 Sc 3.25, 3 Dy 3.41-3.53, 5 Nd 3.48-3.61
Dy  0.2111  0.1201  0.3713  3 Sc 3.34-3.50, 5 Nd 3.36-3.61, 1 Dy 3.52
Sc  0.1091  0.1364  0.8183  4 Dy 3.25-3.50, 4 Nd 3.26-3.61, 1 Sc 3.56

Theoretical density (g/cm³): 6.98

(P) has the most favorable energy; the next structure is 69 meV per atom above.

(P)
Compound: Nd2Dy2Sc3
Source: Alexandria via LeMat-Bulk
Functional: GGA-PBE
Structure: relaxed

abc: 9.4079 9.4079 9.4079
angles: 90.00 90.00 90.00
Last column: nearest neighbours and their distance in Å.
Space group I2_13 (No. 199)
Inequivalent atoms, fractional coordinates:
Nd  0.0864  0.4136  0.5864  1 Dy 3.26, 3 Sc 3.29, 3 Nd 3.48
Dy  0.2138  0.2138  0.2138  6 Sc 3.15-3.16, 1 Nd 3.26
Sc  0.0000  0.2500  0.9580  4 Dy 3.15-3.16, 2 Nd 3.29

Theoretical density (g/cm³): 5.97

(Q)
Compound: Nd2Dy2Sc3
Source: Alexandria via LeMat-Bulk
Functional: GGA-PBE
Structure: relaxed

abc: 11.4469 3.4814 10.3204
angles: 90.00 95.60 90.00
Last column: nearest neighbours and their distance in Å.
Space group C2/m (No. 12)
Inequivalent atoms, fractional coordinates:
Nd  0.2101  0.0000  0.3513  3 Dy 3.40-3.50, 5 Sc 3.43-3.52, 4 Nd 3.48-3.57
Dy  0.0700  0.0000  0.7919  7 Sc 3.37-3.50, 3 Nd 3.40-3.50, 2 Dy 3.48
Sc  0.0000  0.5000  0.5000  6 Nd 3.45-3.52, 2 Sc 3.48, 4 Dy 3.50
Sc  0.1447  0.5000  0.0667  5 Dy 3.37-3.45, 5 Sc 3.37-3.48, 2 Nd 3.43

Theoretical density (g/cm³): 6.07

(Q) has the most favorable energy; the next structure is 164 meV per atom above.